Entry 1:
Computed, not measured: crystalline TbDy5Ag6 at its relaxed geometry at the PBE-GGA level of DFT.

Properties
The value obtained for the total magnetic moment is 0.00 μB per formula unit. The total energy comes out at -4.05 eV per atom. For the formation energy, the calculation gives -322 meV/atom.

CIF file:
```
data_TbDy5Ag6
_space_group_name_H-M_alt 'C m m m'
_space_group_IT_number 65
_space_group_name_Hall '-C 2 2'
_cell_length_a 5.168
_cell_length_b 15.508
_cell_length_c 7.214
_cell_angle_alpha 90.00
_cell_angle_beta 90.00
_cell_angle_gamma 90.00
loop_
_atom_site_label
_atom_site_type_symbol
_atom_site_fract_x
_atom_site_fract_y
_atom_site_fract_z
_atom_site_occupancy
Tb1 Tb 0.000 0.000 0.000 1
Dy1 Dy 0.000 0.000 0.500 1
Dy2 Dy 0.000 0.333 0.000 1
Dy3 Dy 0.000 0.334 0.500 1
Ag1 Ag 0.000 0.167 0.251 1
Ag2 Ag 0.000 0.500 0.251 1
```

Entry 2:
Computed, not measured: crystalline Re2PPbBr at its relaxed geometry at the PBE-GGA level of DFT.

Properties
Its uncorrected formation energy is 1.15 eV per atom. The value obtained for the total magnetic moment is 1.70 μB per formula unit. The total energy comes out at -5.98 eV per atom.

CIF file:
```
data_Re2PPbBr
_space_group_name_H-M_alt 'P 4/m m m'
_space_group_IT_number 123
_space_group_name_Hall '-P 4 2'
_cell_length_a 4.423
_cell_length_b 4.423
_cell_length_c 6.427
_cell_angle_alpha 90.00
_cell_angle_beta 90.00
_cell_angle_gamma 90.00
loop_
_atom_site_label
_atom_site_type_symbol
_atom_site_fract_x
_atom_site_fract_y
_atom_site_fract_z
_atom_site_occupancy
Re1 Re 0.000 0.500 0.000 1
P1 P 0.000 0.000 0.000 1
Pb1 Pb 0.000 0.000 0.500 1
Br1 Br 0.500 0.500 0.500 1
```

Entry 3:
Computed, not measured: crystalline Pr2In at its relaxed geometry at the PBE-GGA level of DFT.

Properties
The value obtained for the total magnetic moment is 0.00 μB per formula unit. The total energy comes out at -4.45 eV per atom. For the formation energy, the calculation gives -346 meV/atom.

CIF file:
```
data_Pr2In
_space_group_name_H-M_alt 'P n m a'
_space_group_IT_number 62
_cell_length_a 6.950
_cell_length_b 5.421
_cell_length_c 10.228
_cell_angle_alpha 90.00
_cell_angle_beta 90.00
_cell_angle_gamma 90.00
loop_
_space_group_symop_operation_xyz
'x,y,z'
'-x,-y,-z'
'-x+1/2,-y,z+1/2'
'x+1/2,y,-z+1/2'
'x+1/2,-y+1/2,-z+1/2'
'-x+1/2,y+1/2,z+1/2'
'-x,y+1/2,-z'
'x,-y+1/2,z'
loop_
_atom_site_label
_atom_site_type_symbol
_atom_site_fract_x
_atom_site_fract_y
_atom_site_fract_z
_atom_site_occupancy
Pr1 Pr 0.030 0.250 0.209 1
Pr2 Pr 0.195 0.250 0.574 1
In1 In 0.215 0.250 0.896 1
```

Entry 4:
Computed, not measured: crystalline Y3InP at its relaxed geometry at the PBE-GGA level of DFT.

Properties
The value obtained for the total magnetic moment is 0.00 μB per formula unit. The total energy comes out at -6.27 eV per atom. For the formation energy, the calculation gives -764 meV/atom.

CIF file:
```
data_Y3InP
_space_group_name_H-M_alt 'P m -3 m'
_space_group_IT_number 221
_space_group_name_Hall '-P 4 2 3'
_cell_length_a 5.251
_cell_length_b 5.251
_cell_length_c 5.251
_cell_angle_alpha 90.00
_cell_angle_beta 90.00
_cell_angle_gamma 90.00
loop_
_atom_site_label
_atom_site_type_symbol
_atom_site_fract_x
_atom_site_fract_y
_atom_site_fract_z
_atom_site_occupancy
Y1 Y 0.000 0.000 0.500 1
In1 In 0.500 0.500 0.500 1
P1 P 0.000 0.000 0.000 1
```

Entry 5:
Computed, not measured: crystalline CaMgWS2 at its relaxed geometry at the PBE-GGA level of DFT.

Properties
Its uncorrected formation energy is 0.67 eV per atom. The value obtained for the total magnetic moment is 3.73 μB per formula unit. The total energy comes out at -4.29 eV per atom.

CIF file:
```
data_CaMgWS2
_space_group_name_H-M_alt 'P 4/m m m'
_space_group_IT_number 123
_space_group_name_Hall '-P 4 2'
_cell_length_a 4.905
_cell_length_b 4.905
_cell_length_c 5.020
_cell_angle_alpha 90.00
_cell_angle_beta 90.00
_cell_angle_gamma 90.00
loop_
_atom_site_label
_atom_site_type_symbol
_atom_site_fract_x
_atom_site_fract_y
_atom_site_fract_z
_atom_site_occupancy
Ca1 Ca 0.000 0.000 0.000 1
Mg1 Mg 0.500 0.500 0.500 1
W1 W 0.500 0.500 0.000 1
S1 S 0.000 0.500 0.500 1
```

Entry 6:
Computed, not measured: crystalline Cs2ZnH5 at its relaxed geometry at the PBE-GGA level of DFT.

Properties
The value obtained for the total magnetic moment is 1.01 μB per formula unit. The total energy comes out at -2.48 eV per atom.

CIF file:
```
data_Cs2ZnH5
_space_group_name_H-M_alt 'I 4 m m'
_space_group_IT_number 107
_space_group_name_Hall 'I 4 -2'
_cell_length_a 6.371
_cell_length_b 6.371
_cell_length_c 8.605
_cell_angle_alpha 90.00
_cell_angle_beta 90.00
_cell_angle_gamma 90.00
loop_
_atom_site_label
_atom_site_type_symbol
_atom_site_fract_x
_atom_site_fract_y
_atom_site_fract_z
_atom_site_occupancy
Cs1 Cs 0.000 0.500 0.000 1
Zn1 Zn 0.000 0.000 0.287 1
H1 H 0.000 0.000 0.481 1
H2 H 0.181 0.181 0.236 1
```

Entry 7:
Computed, not measured: crystalline TaBe2HPt at its relaxed geometry at the PBE-GGA level of DFT.

Properties
The value obtained for the total magnetic moment is 0.00 μB per formula unit. The total energy comes out at -5.89 eV per atom.

CIF file:
```
data_TaBe2HPt
_space_group_name_H-M_alt 'P 4/m m m'
_space_group_IT_number 123
_space_group_name_Hall '-P 4 2'
_cell_length_a 3.850
_cell_length_b 3.850
_cell_length_c 3.669
_cell_angle_alpha 90.00
_cell_angle_beta 90.00
_cell_angle_gamma 90.00
loop_
_atom_site_label
_atom_site_type_symbol
_atom_site_fract_x
_atom_site_fract_y
_atom_site_fract_z
_atom_site_occupancy
Ta1 Ta 0.000 0.000 0.000 1
Be1 Be 0.000 0.500 0.500 1
H1 H 0.000 0.000 0.500 1
Pt1 Pt 0.500 0.500 0.000 1
```

Entry 8:
Computed, not measured: crystalline LaThSi2 at its relaxed geometry at the PBE-GGA level of DFT.

Properties
Its uncorrected formation energy is -0.52 eV per atom. The value obtained for the total magnetic moment is 0.00 μB per formula unit. The total energy comes out at -6.32 eV per atom.

CIF file:
```
data_LaThSi2
_space_group_name_H-M_alt 'R -3 m'
_space_group_IT_number 166
_space_group_name_Hall '-R 3 2"'
_cell_length_a 4.3009
_cell_length_b 4.3009
_cell_length_c 21.2943
_cell_angle_alpha 90.00
_cell_angle_beta 90.00
_cell_angle_gamma 120.00
loop_
_atom_site_label
_atom_site_type_symbol
_atom_site_fract_x
_atom_site_fract_y
_atom_site_fract_z
_atom_site_occupancy
La1 La 0.0000 0.0000 0.0000 1
Th1 Th 0.0000 0.0000 0.5000 1
Si1 Si 0.0000 0.0000 0.2466 1
```